Entry 1:
{
  "formula": "Li3DyGe3",
  "functional": "PBE",
  "state": "relaxed",
  "spacegroup": "No. 223",
  "formation_energy_ev_per_atom": 0.21,
  "cell": [[6.6216, 0.0000, 0.0000], [0.0000, 6.6216, 0.0000], [0.0000, 0.0000, 6.6216]],
  "species": ["Ge", "Ge", "Ge", "Ge", "Ge", "Ge", "Li", "Li", "Li", "Li", "Li", "Li", "Dy", "Dy"],
  "fractional_positions": [[0.0000, 0.2500, 0.5000], [0.0000, 0.7500, 0.5000], [0.5000, 0.0000, 0.7500], [0.7500, 0.5000, 0.0000], [0.5000, 0.0000, 0.2500], [0.2500, 0.5000, 0.0000], [0.2500, 0.0000, 0.5000], [0.0000, 0.5000, 0.2500], [0.5000, 0.7500, 0.0000], [0.7500, 0.0000, 0.5000], [0.0000, 0.5000, 0.7500], [0.5000, 0.2500, 0.0000], [0.5000, 0.5000, 0.5000], [0.0000, 0.0000, 0.0000]]
}



Entry 2:
{
  "formula": "Al3TlAg3",
  "functional": "PBE",
  "state": "relaxed",
  "spacegroup": "No. 223",
  "formation_energy_ev_per_atom": 0.41,
  "cell": [[-0.2318, -1.8918, -6.9467], [-6.7617, -2.3298, 0.8601], [-2.4727, 6.5484, -1.7009]],
  "species": ["Tl", "Tl", "Al", "Al", "Al", "Al", "Al", "Al", "Ag", "Ag", "Ag", "Ag", "Ag", "Ag"],
  "fractional_positions": [[0.5000, 0.5000, 0.5000], [0.0000, 0.0000, 0.0000], [0.0000, 0.2500, 0.5000], [0.0000, 0.7500, 0.5000], [0.5000, 0.0000, 0.7500], [0.7500, 0.5000, 0.0000], [0.5000, 0.0000, 0.2500], [0.2500, 0.5000, 0.0000], [0.2500, 0.0000, 0.5000], [0.0000, 0.5000, 0.2500], [0.5000, 0.7500, 0.0000], [0.7500, 0.0000, 0.5000], [0.0000, 0.5000, 0.7500], [0.5000, 0.2500, 0.0000]]
}



Entry 3:
{
  "formula": "BIrSCl2",
  "functional": "PBE",
  "state": "relaxed",
  "raw_formation_energy_ev_per_atom": 1.16,
  "spacegroup": "No. 123",
  "de_polymorph_ev_per_fu": 0.82,
  "cell": [[4.0437, 0.0000, 0.0000], [0.0000, 4.0437, 0.0000], [0.0000, 0.0000, 4.7275]],
  "species": ["S", "Ir", "B", "Cl", "Cl"],
  "fractional_positions": [[0.0000, 0.0000, 0.5000], [0.5000, 0.5000, 0.5000], [0.0000, 0.0000, 0.0000], [0.0000, 0.5000, 0.0000], [0.5000, 0.0000, 0.0000]]
}



Entry 4:
{
  "formula": "MnReRh2",
  "functional": "PBE",
  "state": "relaxed",
  "spacegroup": "No. 44",
  "de_polymorph_ev_per_fu": 0.81,
  "formation_energy_ev_per_atom": 0.10,
  "cell": [[-0.8301, -2.8602, -4.3622], [4.0577, -1.9466, -2.7649], [-2.6879, 0.2330, 4.5409]],
  "species": ["Mn", "Re", "Rh", "Rh"],
  "fractional_positions": [[0.5049, 0.5049, 0.0000], [0.7246, 0.2246, 0.5000], [0.9923, 0.9923, 0.0000], [0.2782, 0.7782, 0.5000]]
}



Raw total energy, record by record: -45.384 -38.538 -17.571 -35.928 eV per cell